A plane-wave DFT calculation with GGA-PBE was carried out for a relaxed structure of Sc2ReH.

Calculated values
space-group type: Fm-3m
electronic total energy: -6.81 eV per atom
polymorph energy (0 for the lowest one): 196 meV/atom

Cell: 4.4853 4.4853 4.4853 Å, 60.00 60.00 60.00°
Fractional positions:
Sc 0.2500 0.2500 0.2500
Sc 0.7500 0.7500 0.7500
Re 0.0000 0.0000 0.0000
H 0.5000 0.5000 0.5000